Entry from Alexandria: a relaxed Y4CuSe3 crystal (PBE).

Computed properties:
Fermi-level density of states: 10.6 states/eV per cell
ρ: 5.65 g cm⁻³
Energy: -6.44 eV per atom

Geometry as CIF:
```
data_Y4CuSe3
_space_group_name_H-M_alt 'C m m m'
_space_group_IT_number 65
_space_group_name_Hall '-C 2 2'
_cell_length_a 8.337
_cell_length_b 11.588
_cell_length_c 3.994
_cell_angle_alpha 90.00
_cell_angle_beta 90.00
_cell_angle_gamma 90.00
loop_
_atom_site_label
_atom_site_fract_x
_atom_site_fract_y
_atom_site_fract_z
_atom_site_occupancy
Y1 0.000 0.245 0.000 1
Y2 0.239 0.000 0.500 1
Cu1 0.000 0.000 0.000 1
Se1 0.000 0.500 0.000 1
Se2 0.250 0.250 0.500 1
```

Entry from Alexandria: a relaxed YCuSe crystal (PBE).

Computed properties:
Fermi-level density of states: 11.3 states/eV per cell
ΔE to the lowest computed polymorph: 494 meV/atom
ρ: 5.79 g cm⁻³

Geometry as CIF:
```
data_YCuSe
_space_group_name_H-M_alt 'F -4 3 m'
_space_group_IT_number 216
_space_group_name_Hall 'F -4 2 3'
_cell_length_a 6.426
_cell_length_b 6.426
_cell_length_c 6.426
_cell_angle_alpha 90.00
_cell_angle_beta 90.00
_cell_angle_gamma 90.00
loop_
_atom_site_label
_atom_site_fract_x
_atom_site_fract_y
_atom_site_fract_z
_atom_site_occupancy
Y1 0.000 0.000 0.000 1
Cu1 0.250 0.250 0.750 1
Se1 0.000 0.000 0.500 1
```

Entry from Alexandria: a relaxed YCuSe crystal (PBE).

Computed properties:
Fermi-level density of states: 0.1 states/eV per cell
ΔE to the lowest computed polymorph: 333 meV/atom
ρ: 5.12 g cm⁻³

Geometry as CIF:
```
data_YCuSe
_space_group_name_H-M_alt 'F -4 3 m'
_space_group_IT_number 216
_space_group_name_Hall 'F -4 2 3'
_cell_length_a 6.697
_cell_length_b 6.697
_cell_length_c 6.697
_cell_angle_alpha 90.00
_cell_angle_beta 90.00
_cell_angle_gamma 90.00
loop_
_atom_site_label
_atom_site_fract_x
_atom_site_fract_y
_atom_site_fract_z
_atom_site_occupancy
Y1 0.000 0.000 0.000 1
Cu1 0.250 0.250 0.250 1
Se1 0.250 0.250 0.750 1
```

Entry from Alexandria: a relaxed Y3Cu5Se12 crystal (PBE).

Computed properties:
Fermi-level density of states: 116.0 states/eV per cell
ρ: 5.50 g cm⁻³
Energy: -4.72 eV per atom

Geometry as CIF:
```
data_Y3Cu5Se12
_space_group_name_H-M_alt 'I a -3 d'
_space_group_IT_number 230
_space_group_name_Hall '-I 4bd 2c 3'
_cell_length_a 15.465
_cell_length_b 15.465
_cell_length_c 15.465
_cell_angle_alpha 90.00
_cell_angle_beta 90.00
_cell_angle_gamma 90.00
loop_
_atom_site_label
_atom_site_fract_x
_atom_site_fract_y
_atom_site_fract_z
_atom_site_occupancy
Y1 0.000 0.250 0.125 1
Cu1 0.000 0.000 0.000 1
Cu2 0.000 0.250 0.375 1
Se1 0.025 0.059 0.649 1
```

Entry from Alexandria: a relaxed YZnCu3Se4 crystal (PBE).

Computed properties:
ρ: 5.33 g cm⁻³
Energy: -4.34 eV per atom

Geometry as CIF:
```
data_YZnCu3Se4
_space_group_name_H-M_alt 'P -4 3 m'
_space_group_IT_number 215
_space_group_name_Hall 'P -4 2 3'
_cell_length_a 5.905
_cell_length_b 5.905
_cell_length_c 5.905
_cell_angle_alpha 90.00
_cell_angle_beta 90.00
_cell_angle_gamma 90.00
loop_
_atom_site_label
_atom_site_fract_x
_atom_site_fract_y
_atom_site_fract_z
_atom_site_occupancy
Y1 0.000 0.000 0.000 1
Zn1 0.500 0.500 0.500 1
Cu1 0.000 0.000 0.500 1
Se1 0.259 0.259 0.259 1
```

Entry from Alexandria: a relaxed YbCuSe2 crystal (PBE).

Computed properties:
Fermi-level density of states: 3.8 states/eV per cell
ρ: 6.96 g cm⁻³
Energy: -4.09 eV per atom

Geometry as CIF:
```
data_YbCuSe2
_space_group_name_H-M_alt 'P 3 m 1'
_space_group_IT_number 156
_cell_length_a 4.0599
_cell_length_b 4.0599
_cell_length_c 6.5956
_cell_angle_alpha 90.00
_cell_angle_beta 90.00
_cell_angle_gamma 120.00
loop_
_space_group_symop_operation_xyz
'x,y,z'
'-y,x-y,z'
'-x+y,-x,z'
'-y,-x,z'
'-x+y,y,z'
'x,x-y,z'
loop_
_atom_site_label
_atom_site_fract_x
_atom_site_fract_y
_atom_site_fract_z
_atom_site_occupancy
Yb1 0.0000 0.0000 0.0000 1
Cu1 0.3333 0.6667 0.6028 1
Se1 0.3333 0.6667 0.2459 1
Se2 0.6667 0.3333 0.7208 1
```